# 1
DFT (PBE) results for SmB2F8 after structural relaxation.

Cell: 7.005 7.005 5.493 Å, 102.85 102.85 40.48°
Fractional positions:
Sm (0.000, 0.000, 0.000)
B (0.159, 0.159, 0.663)
B (0.841, 0.841, 0.337)
F (0.111, 0.111, 0.395)
F (0.113, 0.653, 0.228)
F (0.265, 0.265, 0.704)
F (0.347, 0.887, 0.772)
F (0.653, 0.113, 0.228)
F (0.735, 0.735, 0.296)
F (0.887, 0.347, 0.772)
F (0.889, 0.889, 0.605)

* crystal system: monoclinic

# 2
DFT (PBE) results for SmBF after structural relaxation.

Cell: 8.838 8.838 8.838 Å, 22.60 22.60 22.60°
Fractional positions:
Sm (0.074, 0.074, 0.074)
Sm (0.926, 0.926, 0.926)
B (0.336, 0.336, 0.336)
B (0.664, 0.664, 0.664)
F (0.209, 0.209, 0.209)
F (0.791, 0.791, 0.791)

* crystal system: trigonal

Number 1: total energy -5.95 eV/atom. Number 2: total energy -6.35 eV/atom.